No. 1
Density functional theory data (PBE) for PuTh2PN5 after structural relaxation.

abc: 5.6474 6.7231 6.7231
angles: 90.00 90.00 90.00
Fractional coordinates of all 18 atoms:
Pu: 0.0000 0.5000 0.5000
Pu: 0.0000 0.0000 0.0000
Th: 0.5000 0.6796 0.1796
Th: 0.5000 0.1796 0.3204
Th: 0.5000 0.8204 0.6796
Th: 0.5000 0.3204 0.8204
P: 0.0000 0.0000 0.5000
P: 0.0000 0.5000 0.0000
N: 0.5000 0.5000 0.5000
N: 0.5000 0.0000 0.0000
N: 0.2185 0.1314 0.6314
N: 0.2185 0.8686 0.3686
N: 0.2185 0.3686 0.1314
N: 0.2185 0.6314 0.8686
N: 0.7815 0.1314 0.6314
N: 0.7815 0.6314 0.8686
N: 0.7815 0.8686 0.3686
N: 0.7815 0.3686 0.1314

spin magnetization	5.7	μB/f.u.
energy relative to the elements, uncorrected	-817	kJ/mol of formula units
final energy	-9.408	eV/atom
DOS(E_F)	14.1	states/eV/cell

---

No. 2
Density functional theory data (PBE) for Mg3SnSb after structural relaxation.

abc: 4.6536 10.5929 10.5929
angles: 95.28 82.00 82.00
Fractional coordinates of all 20 atoms:
Mg: 0.6605 0.2381 0.0781
Mg: 0.1605 0.0781 0.2381
Mg: 0.8395 0.9219 0.7619
Mg: 0.3395 0.7619 0.9219
Mg: 0.0099 0.3419 0.4872
Mg: 0.5099 0.4872 0.3419
Mg: 0.4901 0.5128 0.6581
Mg: 0.9901 0.6581 0.5128
Mg: 0.8308 0.6364 0.1050
Mg: 0.3308 0.1050 0.6364
Mg: 0.6692 0.8950 0.3636
Mg: 0.1692 0.3636 0.8950
Sn: 0.2500 0.7555 0.2445
Sn: 0.2500 0.0647 0.9353
Sn: 0.7500 0.2445 0.7555
Sn: 0.7500 0.9353 0.0647
Sb: 0.0797 0.3936 0.1763
Sb: 0.5797 0.1763 0.3936
Sb: 0.4203 0.8237 0.6064
Sb: 0.9203 0.6064 0.8237

spin magnetization	0.0	μB/f.u.
excess energy over the best structure of this formula in the dataset	0.0000	eV per atom
energy relative to the elements, uncorrected	-80	kJ/mol of formula units
final energy	-2.747	eV/atom
DOS(E_F)	5.2	states/eV/cell

---

No. 3
Density functional theory data (PBE) for Mn2Cd9N8 after structural relaxation.

abc: 11.0611 4.0306 8.3355
angles: 90.00 74.29 79.50
Fractional coordinates of all 19 atoms:
N: 0.2521 0.8739 0.9859
N: 0.7479 0.1261 0.0141
N: 0.3347 0.8327 0.6008
N: 0.6653 0.1673 0.3992
N: 0.5458 0.7271 0.7915
N: 0.4542 0.2729 0.2085
N: 0.9722 0.5139 0.2577
N: 0.0278 0.4861 0.7423
Mn: 0.3782 0.8109 0.7926
Mn: 0.6218 0.1891 0.2074
Cd: 0.0000 0.5000 0.5000
Cd: 0.1136 0.9432 0.7474
Cd: 0.8864 0.0568 0.2526
Cd: 0.6280 0.6860 0.5052
Cd: 0.3720 0.3140 0.4948
Cd: 0.8425 0.5787 0.9399
Cd: 0.1575 0.4213 0.0601
Cd: 0.4022 0.7989 0.1383
Cd: 0.5978 0.2011 0.8617

spin magnetization	5.4	μB/f.u.
energy relative to the elements, uncorrected	759	kJ/mol of formula units
final energy	-4.490	eV/atom
DOS(E_F)	3.5	states/eV/cell

---

No. 4
Density functional theory data (PBE) for PrDySi2Ni2 after structural relaxation.

abc: 3.9984 3.9984 8.2745
angles: 90.00 90.00 120.00
Fractional coordinates of all 6 atoms:
Pr: 0.0000 0.0000 0.0000
Dy: 0.0000 0.0000 0.5000
Si: 0.6667 0.3333 0.7403
Si: 0.3333 0.6667 0.2597
Ni: 0.6667 0.3333 0.2642
Ni: 0.3333 0.6667 0.7358

spin magnetization	0.0	μB/f.u.
energy relative to the elements, uncorrected	-431	kJ/mol of formula units
final energy	-6.042	eV/atom
DOS(E_F)	5.8	states/eV/cell

---

No. 5
Density functional theory data (PBE) for Cs2RbHg2 after structural relaxation.

abc: 9.9804 9.9804 5.6685
angles: 90.00 90.00 90.00
Fractional coordinates of all 10 atoms:
Cs: 0.1705 0.6705 0.5000
Cs: 0.6705 0.8295 0.5000
Cs: 0.8295 0.3295 0.5000
Cs: 0.3295 0.1705 0.5000
Hg: 0.3870 0.8870 0.0000
Hg: 0.8870 0.6130 0.0000
Hg: 0.6130 0.1130 0.0000
Hg: 0.1130 0.3870 0.0000
Rb: 0.0000 0.0000 0.0000
Rb: 0.5000 0.5000 0.0000

spin magnetization	0.0	μB/f.u.
excess energy over the best structure of this formula in the dataset	0.0000	eV per atom
formation energy	-0.192	eV per atom
final energy	-0.848	eV/atom
DOS(E_F)	8.7	states/eV/cell

---

No. 6
Density functional theory data (PBE) for CsMn3Ag4Br12 after structural relaxation.

abc: 9.4959 9.4959 9.4959
angles: 108.69 108.69 108.69
Fractional coordinates of all 20 atoms:
Cs: 0.0000 0.0000 0.0000
Mn: 0.5851 0.4149 0.0000
Mn: 0.4149 0.0000 0.5851
Mn: 0.0000 0.5851 0.4149
Ag: 0.8374 0.1626 0.5000
Ag: 0.1626 0.5000 0.8374
Ag: 0.5000 0.8374 0.1626
Ag: 0.5000 0.5000 0.5000
Br: 0.5000 0.3280 0.6720
Br: 0.9022 0.5000 0.0978
Br: 0.0978 0.9022 0.5000
Br: 0.5000 0.0978 0.9022
Br: 0.3440 0.9643 0.2789
Br: 0.2789 0.3440 0.9643
Br: 0.9643 0.2789 0.3440
Br: 0.6560 0.7211 0.0357
Br: 0.0357 0.6560 0.7211
Br: 0.7211 0.0357 0.6560
Br: 0.6720 0.5000 0.3280
Br: 0.3280 0.6720 0.5000

spin magnetization	14.0	μB/f.u.
energy relative to the elements, uncorrected	-1232	kJ/mol of formula units
final energy	-3.630	eV/atom
DOS(E_F)	11.7	states/eV/cell

---

No. 7
Density functional theory data (PBE) for GdErInRu after structural relaxation.

abc: 5.0624 5.0624 5.0624
angles: 60.00 60.00 60.00
Fractional coordinates of all 4 atoms:
Ru: 0.7500 0.7500 0.7500
Gd: 0.0000 0.0000 0.0000
In: 0.2500 0.2500 0.2500
Er: 0.5000 0.5000 0.5000

spin magnetization	7.1	μB/f.u.
formation energy	-0.326	eV per atom
final energy	-7.991	eV/atom
DOS(E_F)	2.6	states/eV/cell

---

No. 8
Density functional theory data (PBE) for Tm4SbTe2As after structural relaxation.

abc: 4.2347 7.4247 7.3681
angles: 70.77 90.00 90.00
Fractional coordinates of all 8 atoms:
Tm: 0.0000 0.7294 0.7427
Tm: 0.0000 0.2706 0.2573
Tm: 0.5000 0.7215 0.2720
Tm: 0.5000 0.2785 0.7280
Sb: 0.5000 0.5000 0.0000
Te: 0.0000 0.0000 0.0000
Te: 0.5000 0.0000 0.5000
As: 0.0000 0.5000 0.5000

spin magnetization	0.0	μB/f.u.
energy relative to the elements, uncorrected	-992	kJ/mol of formula units
final energy	-5.403	eV/atom
DOS(E_F)	3.5	states/eV/cell

---

No. 9
Density functional theory data (PBE) for CsHO2 after structural relaxation.

abc: 4.4748 4.4748 4.4748
angles: 60.00 60.00 60.00
Fractional coordinates of all 4 atoms:
Cs: 0.5000 0.5000 0.5000
H: 0.0000 0.0000 0.0000
O: 0.2500 0.2500 0.2500
O: 0.7500 0.7500 0.7500

spin magnetization	2.0	μB/f.u.
excess energy over the best structure of this formula in the dataset	1.7291	eV per atom
final energy	-2.664	eV/atom
DOS(E_F)	2.9	states/eV/cell

---

No. 10
Density functional theory data (PBE) for ZrMoPt after structural relaxation.

abc: 2.8894 2.8894 7.3200
angles: 90.00 90.00 120.00
Fractional coordinates of all 3 atoms:
Mo: 0.0000 0.0000 0.0168
Pt: 0.6667 0.3333 0.3240
Zr: 0.3333 0.6667 0.6592

spin magnetization	0.0	μB/f.u.
excess energy over the best structure of this formula in the dataset	0.4912	eV per atom
formation energy	-0.031	eV per atom
final energy	-8.504	eV/atom
DOS(E_F)	3.8	states/eV/cell

---

No. 11
Density functional theory data (PBE) for TaAl5Fe6 after structural relaxation.

abc: 4.1076 5.8066 6.4804
angles: 90.00 108.46 90.00
Fractional coordinates of all 12 atoms:
Fe: 0.8304 0.7456 0.6601
Fe: 0.8304 0.2544 0.6601
Fe: 0.5000 0.2560 0.0000
Fe: 0.5000 0.7440 0.0000
Fe: 0.1696 0.7456 0.3399
Fe: 0.1696 0.2544 0.3399
Al: 0.6644 0.5000 0.3294
Al: 0.3338 0.0000 0.6671
Al: 0.0000 0.5000 0.0000
Al: 0.6662 0.0000 0.3329
Al: 0.3356 0.5000 0.6706
Ta: 0.0000 0.0000 0.0000

spin magnetization	2.6	μB/f.u.
formation energy	-0.362	eV per atom
final energy	-7.140	eV/atom
DOS(E_F)	11.2	states/eV/cell

---

No. 12
Density functional theory data (PBE) for Tm3Ge2Pt4 after structural relaxation.

abc: 4.3556 5.6063 8.2345
angles: 74.07 74.66 67.14
Fractional coordinates of all 9 atoms:
Tm: 0.3576 0.5949 0.6900
Tm: 0.0000 0.0000 0.0000
Tm: 0.6424 0.4051 0.3100
Ge: 0.3454 0.9878 0.3213
Ge: 0.6546 0.0122 0.6787
Pt: 0.2810 0.3642 0.0739
Pt: 0.7190 0.6358 0.9261
Pt: 0.0852 0.2371 0.5924
Pt: 0.9148 0.7629 0.4076

spin magnetization	0.0	μB/f.u.
formation energy	-1.129	eV per atom
final energy	-6.330	eV/atom
DOS(E_F)	4.8	states/eV/cell

---

> Which value of final energy does entry 9 give?

-2.664 eV/atom